Entry 1:
The following is a DFT calculation (GGA-PBE) of crystalline Ti2Ge2Ir at its relaxed geometry.

Results
Calculated volume ... 15.57 Å³ per atom
Uncorrected energy ... -7.4064 eV per atom
E_form ... -0.629 eV per atom
Total magnetization ... 0.000 μB/atom

Cell: 6.4716 6.4716 7.4332 Å, 90.00 90.00 90.00°
Closest atoms and distances in Å follow each position.
Positions (direct):
Ti  0.1569  0.3176  0.0000  6 Ge 2.58-2.78
Ti  0.1824  0.3431  0.5000  6 Ge 2.58-2.78
Ti  0.3176  0.8431  0.0000  6 Ge 2.58-2.78
Ti  0.3431  0.8176  0.5000  6 Ge 2.58-2.78
Ti  0.6569  0.1824  0.5000  6 Ge 2.58-2.78
Ti  0.6824  0.1569  0.0000  6 Ge 2.58-2.78
Ti  0.8176  0.6569  0.5000  6 Ge 2.58-2.78
Ti  0.8431  0.6824  0.0000  6 Ge 2.58-2.78
Ge  0.1354  0.6354  0.2500  1 Ge 2.48, 2 Ir 2.55, 6 Ti 2.58-2.78
Ge  0.1354  0.6354  0.7500  1 Ge 2.48, 2 Ir 2.55, 6 Ti 2.58-2.78
Ge  0.3646  0.1354  0.2500  1 Ge 2.48, 2 Ir 2.55, 6 Ti 2.58-2.78
Ge  0.3646  0.1354  0.7500  1 Ge 2.48, 2 Ir 2.55, 6 Ti 2.58-2.78
Ge  0.6354  0.8646  0.2500  1 Ge 2.48, 2 Ir 2.55, 6 Ti 2.58-2.78
Ge  0.6354  0.8646  0.7500  1 Ge 2.48, 2 Ir 2.55, 6 Ti 2.58-2.78
Ge  0.8646  0.3646  0.2500  1 Ge 2.48, 2 Ir 2.55, 6 Ti 2.58-2.78
Ge  0.8646  0.3646  0.7500  1 Ge 2.48, 2 Ir 2.55, 6 Ti 2.58-2.78
Ir  0.0000  0.0000  0.3039  4 Ge 2.55
Ir  0.0000  0.0000  0.6961  4 Ge 2.55
Ir  0.5000  0.5000  0.1961  4 Ge 2.55
Ir  0.5000  0.5000  0.8039  4 Ge 2.55

***

Entry 2:
The following is a DFT calculation (GGA-PBE) of crystalline Tl4Ga at its relaxed geometry.

Results
Calculated volume ... 28.57 Å³ per atom
Uncorrected energy ... -2.4448 eV per atom
Excess energy over the best structure of this formula in the dataset ... 0 meV/atom
E_form ... 0.054 eV per atom
Total magnetization ... 0.000 μB/atom

Cell: 11.5603 11.5406 3.5613 Å, 81.45 80.82 17.74°
Closest atoms and distances in Å follow each position.
Positions (direct):
Tl  0.0861  0.0861  0.9139  4 Ga 3.14-3.22, 2 Tl 3.48
Tl  0.3055  0.3055  0.6945  12 Tl 3.48-3.58
Tl  0.6945  0.6945  0.3055  12 Tl 3.48-3.58
Tl  0.9139  0.9139  0.0861  4 Ga 3.14-3.22, 2 Tl 3.48
Ga  0.5000  0.5000  0.5000  8 Tl 3.14-3.22

***

Entry 3:
The following is a DFT calculation (GGA-PBE) of crystalline Zr2FeSi at its relaxed geometry.

Results
Calculated volume ... 17.33 Å³ per atom
Uncorrected energy ... -8.0784 eV per atom
Total magnetization ... 0.387 μB/atom

Cell: 3.4354 3.4455 5.8573 Å, 90.00 90.00 90.00°
Closest atoms and distances in Å follow each position.
Positions (direct):
Zr  0.0000  0.0000  0.2500  4 Fe 2.84, 4 Si 2.84, 2 Zr 2.93
Zr  0.0000  0.0000  0.7500  4 Fe 2.84, 4 Si 2.84, 2 Zr 2.93
Fe  0.5000  0.5000  0.0000  8 Zr 2.84, 2 Si 2.93
Si  0.5000  0.5000  0.5000  8 Zr 2.84, 2 Fe 2.93